Entry 1:
This record from the Alexandria database describes a relaxed structure of CaPPb2. The functional is GGA-PBEsol.

For the magnetization, the calculation gives 0.00 Bohr magnetons per cell. The density of states at the Fermi level is 1.734 states/eV/f.u. Its formation energy is -125.9 meV/atom.

It has space group F-43m (No. 216), with a = 7.412 Å, b = 7.412 Å, c = 7.412 Å, α = 90.00°, β = 90.00° and γ = 90.00°. The inequivalent atoms are Ca at (0.000, 0.000, 0.000), P at (0.250, 0.250, 0.750), Pb at (0.000, 0.000, 0.500) and Pb at (0.250, 0.250, 0.250).

Entry 2:
This record from the Alexandria database describes a relaxed structure of LiEu4B3N6. The functional is GGA-PBEsol.

The formation energy (no corrections) comes out at -1.20 eV per atom. For the magnetization, the calculation gives 56.00 Bohr magnetons per cell. The density of states at the Fermi level is 20.266 states/eV/f.u.

It has space group Im-3m (No. 229), with a = 7.215 Å, b = 7.215 Å, c = 7.215 Å, α = 90.00°, β = 90.00° and γ = 90.00°. The inequivalent atoms are Li at (0.000, 0.000, 0.000), Eu at (0.250, 0.250, 0.250), B at (0.000, 0.000, 0.500) and N at (0.000, 0.000, 0.312).

Entry 3:
This record from the Alexandria database describes a relaxed structure of Cd3AgB. The functional is GGA-PBEsol.

For the magnetization, the calculation gives 0.00 Bohr magnetons per cell. The density of states at the Fermi level is 2.669 states/eV/f.u. Its formation energy is 1281.5 meV/atom.

It has space group Pm-3m (No. 221), with a = 5.081 Å, b = 5.081 Å, c = 5.081 Å, α = 90.00°, β = 90.00° and γ = 90.00°. The inequivalent atoms are Cd at (0.000, 0.000, 0.500), Ag at (0.000, 0.000, 0.000) and B at (0.500, 0.500, 0.500).

Entry 4:
This record from the Alexandria database describes a relaxed structure of K2HI2ClO6. The functional is GGA-PBEsol.

For the magnetization, the calculation gives 0.00 Bohr magnetons per cell. The density of states at the Fermi level is 0.000 states/eV/f.u. The total energy is -4.52 eV per atom.

It has space group Pca2_1 (No. 29), with a = 14.831 Å, b = 6.448 Å, c = 8.558 Å, α = 90.00°, β = 90.00° and γ = 90.00°. The inequivalent atoms are K at (0.017, 0.021, 0.000), K at (0.234, 0.549, 0.992), H at (0.111, 0.274, 0.261), I at (0.034, 0.503, 0.740), I at (0.219, 0.048, 0.734), Cl at (0.125, 0.772, 0.272), O at (0.041, 0.255, 0.272), O at (0.052, 0.453, 0.946), O at (0.113, 0.183, 0.679), O at (0.132, 0.665, 0.699), O at (0.198, 0.006, 0.941) and O at (0.210, 0.281, 0.248).

Entry 5:
This record from the Alexandria database describes a relaxed structure of RhSeN2Cl. The functional is GGA-PBEsol.

The formation energy (no corrections) comes out at 0.90 eV per atom. For the magnetization, the calculation gives 0.00 Bohr magnetons per cell. The density of states at the Fermi level is 2.310 states/eV/f.u.

It has space group P4/mmm (No. 123), with a = 3.731 Å, b = 3.731 Å, c = 5.460 Å, α = 90.00°, β = 90.00° and γ = 90.00°. The inequivalent atoms are Rh at (0.000, 0.000, 0.000), Se at (0.000, 0.000, 0.500), N at (0.000, 0.500, 0.000) and Cl at (0.500, 0.500, 0.500).

Entry 6:
This record from the Alexandria database describes a relaxed structure of Fe2SbOs. The functional is GGA-PBEsol.

The formation energy (no corrections) comes out at 0.33 eV per atom. For the magnetization, the calculation gives 4.91 Bohr magnetons per cell. The density of states at the Fermi level is 2.168 states/eV/f.u.

It has space group P4mm (No. 99), with a = 3.103 Å, b = 3.103 Å, c = 5.803 Å, α = 90.00°, β = 90.00° and γ = 90.00°. The inequivalent atoms are Fe at (0.000, 0.000, 0.000), Fe at (0.500, 0.500, 0.211), Sb at (0.500, 0.500, 0.743) and Os at (0.000, 0.000, 0.467).

Repeat the second record exactly.
This record from the Alexandria database describes a relaxed structure of LiEu4B3N6. The functional is GGA-PBEsol.

The formation energy (no corrections) comes out at -1.20 eV per atom. For the magnetization, the calculation gives 56.00 Bohr magnetons per cell. The density of states at the Fermi level is 20.266 states/eV/f.u.

It has space group Im-3m (No. 229), with a = 7.215 Å, b = 7.215 Å, c = 7.215 Å, α = 90.00°, β = 90.00° and γ = 90.00°. The inequivalent atoms are Li at (0.000, 0.000, 0.000), Eu at (0.250, 0.250, 0.250), B at (0.000, 0.000, 0.500) and N at (0.000, 0.000, 0.312).

> Number 1 is which compound?

CaPPb2